Compound: SmTm2Ge4Pd4
Source: OQMD via LeMat-Bulk
Functional: PBE
Structure: relaxed

Computed properties:
For the total DFT energy (no corrections), the calculation gives -5.7291 eV/atom.

Cell: 4.164 7.146 13.983 Å, 90.00 90.00 90.00°
Space group Immm (No. 71)
One atom of each set of equivalent atoms:
Sm 0.000 0.000 0.000 x2
Tm 0.000 0.500 0.126 x4
Ge 0.000 0.000 0.219 x4
Ge 0.000 0.187 0.500 x4
Pd 0.000 0.298 0.325 x8